No. 1
Density functional theory data (meta-GGA SCAN) for a PBEsol-optimized structure of LiZnAu.

For the energy of formation, the calculation gives -456.8 meV/atom. As for the symmetry: Imm2 (44). As for the density of states at the Fermi level: 0.8 states/eV/f.u. Its energy above the most stable polymorph in this dataset is 0 meV/atom. Its volume is 44 Å³/f.u.

```
LiZnAu
1.0
2.832 0.000 0.000
0.000 3.782 0.000
0.000 0.000 8.150
Li Zn Au
2 2 2
Cartesian
0.000 0.000 0.000
1.416 1.891 4.075
0.000 0.000 2.691
1.416 1.891 6.766
0.000 0.000 5.408
1.416 1.891 1.333
```



No. 2
Density functional theory data (meta-GGA SCAN) for a PBEsol-optimized structure of LiZnAu.

For the energy of formation, the calculation gives -369.4 meV/atom. As for the symmetry: F-43m (216). As for the density of states at the Fermi level: 1.1 states/eV/f.u. Its energy above the most stable polymorph in this dataset is 87 meV/atom. Its volume is 54 Å³/f.u.

```
LiZnAu
1.0
6.011 0.000 0.000
0.000 6.011 0.000
0.000 0.000 6.011
Li Zn Au
4 4 4
Cartesian
0.000 0.000 0.000
0.000 3.005 3.005
3.005 0.000 3.005
3.005 3.005 0.000
0.000 0.000 3.005
0.000 3.005 0.000
3.005 0.000 0.000
3.005 3.005 3.005
1.503 1.503 1.503
1.503 4.508 4.508
4.508 1.503 4.508
4.508 4.508 1.503
```



No. 3
Density functional theory data (meta-GGA SCAN) for a PBEsol-optimized structure of LiZnAu3.

For the energy of formation, the calculation gives 300.2 meV/atom. As for the symmetry: Pm-3m (221). As for the density of states at the Fermi level: 1.6 states/eV/f.u. Its volume is 84 Å³/f.u.

```
LiZnAu3
1.0
4.373 0.000 0.000
0.000 4.373 0.000
0.000 0.000 4.373
Li Zn Au
1 1 3
Cartesian
0.000 0.000 0.000
2.186 2.186 2.186
0.000 0.000 2.186
0.000 2.186 0.000
2.186 0.000 0.000
```



No. 4
Density functional theory data (meta-GGA SCAN) for a PBEsol-optimized structure of LiZn2Au2.

For the energy of formation, the calculation gives -353.2 meV/atom. As for the symmetry: I4/mmm (139). As for the density of states at the Fermi level: 1.2 states/eV/f.u. Its energy above the most stable polymorph in this dataset is 39 meV/atom. Its volume is 85 Å³/f.u.

```
LiZn2Au2
1.0
3.643 0.000 0.000
0.000 3.643 0.000
0.000 0.000 12.790
Li Zn Au
2 4 4
Cartesian
0.000 0.000 0.000
1.821 1.821 6.395
0.000 1.821 3.197
0.000 1.821 9.592
1.821 0.000 3.197
1.821 0.000 9.592
0.000 0.000 5.077
0.000 0.000 7.713
1.821 1.821 1.318
1.821 1.821 11.472
```



No. 5
Density functional theory data (meta-GGA SCAN) for a PBEsol-optimized structure of LiZnAu2.

For the energy of formation, the calculation gives -487.9 meV/atom. As for the symmetry: P4/mmm (123). As for the density of states at the Fermi level: 1.2 states/eV/f.u. Its volume is 59 Å³/f.u.

```
LiZnAu2
1.0
4.353 0.000 0.000
0.000 4.353 0.000
0.000 0.000 3.125
Li Zn Au
1 1 2
Cartesian
0.000 0.000 0.000
2.176 2.176 0.000
0.000 2.176 1.563
2.176 0.000 1.563
```



No. 6
Density functional theory data (meta-GGA SCAN) for a PBEsol-optimized structure of LiZnAu2.

For the energy of formation, the calculation gives -388.9 meV/atom. As for the symmetry: F-43m (216). As for the density of states at the Fermi level: 1.0 states/eV/f.u. Its volume is 62 Å³/f.u.

```
LiZnAu2
1.0
6.273 0.000 0.000
0.000 6.273 0.000
0.000 0.000 6.273
Li Zn Au
4 4 8
Cartesian
0.000 0.000 0.000
0.000 3.137 3.137
3.137 0.000 3.137
3.137 3.137 0.000
1.568 1.568 4.705
1.568 4.705 1.568
4.705 1.568 1.568
4.705 4.705 4.705
0.000 0.000 3.137
0.000 3.137 0.000
1.568 1.568 1.568
1.568 4.705 4.705
3.137 0.000 0.000
3.137 3.137 3.137
4.705 1.568 4.705
4.705 4.705 1.568
```



No. 7
Density functional theory data (meta-GGA SCAN) for a PBEsol-optimized structure of LiZn2Au2.

For the energy of formation, the calculation gives -391.8 meV/atom. As for the symmetry: P4/mbm (127). As for the density of states at the Fermi level: 1.3 states/eV/f.u. Its energy above the most stable polymorph in this dataset is 0 meV/atom. Its volume is 81 Å³/f.u.

```
LiZn2Au2
1.0
7.578 0.000 0.000
0.000 7.578 0.000
0.000 0.000 2.838
Li Zn Au
2 4 4
Cartesian
0.000 0.000 0.000
3.789 3.789 0.000
0.990 2.799 1.419
2.799 6.588 1.419
4.779 0.990 1.419
6.588 4.779 1.419
1.268 5.057 0.000
2.520 1.268 0.000
5.057 6.309 0.000
6.309 2.520 0.000
```



No. 8
Density functional theory data (meta-GGA SCAN) for a PBEsol-optimized structure of LiZnAu2.

For the energy of formation, the calculation gives -459.7 meV/atom. As for the symmetry: Pmmm (47). As for the density of states at the Fermi level: 1.0 states/eV/f.u. Its volume is 59 Å³/f.u.

```
LiZnAu2
1.0
3.000 0.000 0.000
0.000 3.426 0.000
0.000 0.000 5.786
Li Zn Au
1 1 2
Cartesian
0.000 0.000 0.000
0.000 0.000 2.893
1.500 1.713 1.429
1.500 1.713 4.357
```



No. 9
Density functional theory data (meta-GGA SCAN) for a PBEsol-optimized structure of LiZnAu2.

For the energy of formation, the calculation gives -229.4 meV/atom. As for the symmetry: R3m (160). As for the density of states at the Fermi level: 1.3 states/eV/f.u. Its volume is 63 Å³/f.u.

```
LiZnAu2
1.0
2.827 0.000 0.000
-1.414 2.448 0.000
0.000 0.000 27.213
Li Zn Au
3 3 6
Cartesian
0.000 0.000 0.000
0.000 1.632 18.142
1.414 0.816 9.071
0.000 0.000 6.870
0.000 1.632 25.012
1.414 0.816 15.941
0.000 0.000 13.728
0.000 0.000 20.260
0.000 1.632 4.657
0.000 1.632 11.189
1.414 0.816 2.118
1.414 0.816 22.799
```



No. 10
Density functional theory data (meta-GGA SCAN) for a PBEsol-optimized structure of LiZnAu2.

For the energy of formation, the calculation gives -480.5 meV/atom. As for the symmetry: I-4m2 (119). As for the density of states at the Fermi level: 1.0 states/eV/f.u. Its volume is 60 Å³/f.u.

```
LiZnAu2
1.0
3.820 0.000 0.000
0.000 3.820 0.000
0.000 0.000 8.229
Li Zn Au
2 2 4
Cartesian
0.000 0.000 0.000
1.910 1.910 4.114
0.000 1.910 6.172
1.910 0.000 2.057
0.000 0.000 4.114
0.000 1.910 2.057
1.910 0.000 6.172
1.910 1.910 0.000
```



No. 11
Density functional theory data (meta-GGA SCAN) for a PBEsol-optimized structure of LiZnAu.

For the energy of formation, the calculation gives -447.8 meV/atom. As for the symmetry: P3m1 (156). As for the density of states at the Fermi level: 0.8 states/eV/f.u. Its energy above the most stable polymorph in this dataset is 9 meV/atom. Its volume is 43 Å³/f.u.

```
LiZnAu
1.0
4.311 0.000 0.000
-2.156 3.734 0.000
0.000 0.000 2.690
Li Zn Au
1 1 1
Cartesian
0.000 0.000 0.000
0.000 2.489 1.966
2.156 1.245 0.965
```



No. 12
Density functional theory data (meta-GGA SCAN) for a PBEsol-optimized structure of LiZnAu2.

For the energy of formation, the calculation gives -399.5 meV/atom. As for the symmetry: P4mm (99). As for the density of states at the Fermi level: 1.1 states/eV/f.u. Its volume is 62 Å³/f.u.

```
LiZnAu2
1.0
3.365 0.000 0.000
0.000 3.365 0.000
0.000 0.000 5.443
Li Zn Au
1 1 2
Cartesian
0.000 0.000 0.000
1.683 1.683 1.472
0.000 0.000 2.659
1.683 1.683 4.304
```



No. 13
Density functional theory data (meta-GGA SCAN) for a PBEsol-optimized structure of LiZnAu2.

For the energy of formation, the calculation gives -432.2 meV/atom. As for the symmetry: Pmm2 (25). As for the density of states at the Fermi level: 0.9 states/eV/f.u. Its volume is 61 Å³/f.u.

```
LiZnAu2
1.0
2.794 0.000 0.000
0.000 4.027 0.000
0.000 0.000 5.416
Li Zn Au
1 1 2
Cartesian
0.000 0.000 0.000
1.397 2.013 1.503
0.000 0.000 2.636
1.397 2.013 4.316
```



No. 14
Density functional theory data (meta-GGA SCAN) for a PBEsol-optimized structure of LiZnAu2.

For the energy of formation, the calculation gives -449.8 meV/atom. As for the symmetry: Cm (8). As for the density of states at the Fermi level: 0.9 states/eV/f.u. Its volume is 61 Å³/f.u.

```
LiZnAu2
1.0
9.324 0.000 0.000
0.000 2.862 0.000
-0.810 0.000 4.540
Li Zn Au
2 2 4
Cartesian
0.000 0.000 0.000
4.662 1.431 0.000
2.163 1.431 1.421
6.825 0.000 1.421
-0.391 1.431 2.243
1.706 0.000 3.729
4.271 0.000 2.243
6.368 1.431 3.729
```



No. 15
Density functional theory data (meta-GGA SCAN) for a PBEsol-optimized structure of LiZrAu2.

For the energy of formation, the calculation gives -654.9 meV/atom. As for the symmetry: Cmmm (65). As for the density of states at the Fermi level: 1.9 states/eV/f.u. Its energy above the most stable polymorph in this dataset is 76 meV/atom. Its volume is 71 Å³/f.u.

```
LiZrAu2
1.0
6.990 0.000 0.000
0.000 7.067 0.000
0.000 0.000 2.880
Li Zr Au
2 2 4
Cartesian
0.000 0.000 0.000
3.495 3.533 0.000
0.000 3.533 0.000
3.495 0.000 0.000
1.748 1.767 1.440
1.748 5.300 1.440
5.243 1.767 1.440
5.243 5.300 1.440
```



No. 16
Density functional theory data (meta-GGA SCAN) for a PBEsol-optimized structure of LiZrAu2.

For the energy of formation, the calculation gives -675.4 meV/atom. As for the symmetry: Pmmm (47). As for the density of states at the Fermi level: 2.4 states/eV/f.u. Its energy above the most stable polymorph in this dataset is 55 meV/atom. Its volume is 67 Å³/f.u.

```
LiZrAu2
1.0
2.986 0.000 0.000
0.000 3.293 0.000
0.000 0.000 6.787
Li Zr Au
1 1 2
Cartesian
0.000 0.000 0.000
0.000 0.000 3.394
1.493 1.647 1.489
1.493 1.647 5.298
```



No. 17
Density functional theory data (meta-GGA SCAN) for a PBEsol-optimized structure of LiZrAu4.

For the energy of formation, the calculation gives -338.7 meV/atom. As for the symmetry: F-43m (216). As for the density of states at the Fermi level: 3.2 states/eV/f.u. Its volume is 110 Å³/f.u.

```
LiZrAu4
1.0
0.000 3.805 3.805
3.805 0.000 3.805
3.805 3.805 0.000
Li Zr Au
1 1 4
Cartesian
0.000 0.000 0.000
5.707 5.707 5.707
2.852 2.852 2.852
4.758 4.758 2.852
4.758 2.852 4.758
2.852 4.758 4.758
```



No. 18
Density functional theory data (meta-GGA SCAN) for a PBEsol-optimized structure of Li2ZrAu.

For the energy of formation, the calculation gives -255.2 meV/atom. As for the symmetry: I4/mmm (139). As for the density of states at the Fermi level: 2.7 states/eV/f.u. Its energy above the most stable polymorph in this dataset is 0 meV/atom. Its volume is 61 Å³/f.u.

```
Li2ZrAu
1.0
4.321 0.000 0.000
0.000 4.321 0.000
0.000 0.000 6.523
Li Zr Au
4 2 2
Cartesian
0.000 2.161 1.631
0.000 2.161 4.892
2.161 0.000 1.631
2.161 0.000 4.892
0.000 0.000 0.000
2.161 2.161 3.261
0.000 0.000 3.261
2.161 2.161 0.000
```



No. 19
Density functional theory data (meta-GGA SCAN) for a PBEsol-optimized structure of Li2ZrAu2.

For the energy of formation, the calculation gives -602.2 meV/atom. As for the symmetry: P4/mbm (127). As for the density of states at the Fermi level: 2.2 states/eV/f.u. Its volume is 79 Å³/f.u.

```
Li2ZrAu2
1.0
7.497 0.000 0.000
0.000 7.497 0.000
0.000 0.000 2.795
Li Zr Au
4 2 4
Cartesian
0.832 2.917 0.000
2.917 6.665 0.000
4.581 0.832 0.000
6.665 4.581 0.000
0.000 0.000 0.000
3.749 3.749 0.000
1.406 5.155 1.397
2.343 1.406 1.397
5.155 6.092 1.397
6.092 2.343 1.397
```



No. 20
Density functional theory data (meta-GGA SCAN) for a PBEsol-optimized structure of LiZrAu2.

For the energy of formation, the calculation gives -730.7 meV/atom. As for the symmetry: Immm (71). As for the density of states at the Fermi level: 2.2 states/eV/f.u. Its energy above the most stable polymorph in this dataset is 0 meV/atom. Its volume is 69 Å³/f.u.

```
LiZrAu2
1.0
4.581 0.000 0.000
0.000 4.639 0.000
0.000 0.000 6.530
Li Zr Au
2 2 4
Cartesian
0.000 0.000 0.000
2.290 2.320 3.265
0.000 0.000 3.265
2.290 2.320 0.000
0.000 2.320 1.657
0.000 2.320 4.873
2.290 0.000 1.608
2.290 0.000 4.922
```